# Nd2PuNiS5 | Alexandria | PBE-GGA | relaxed
# final energy = -7.215 eV/atom
# space-group type = Cmc2_1 (36)
# formation energy (no corrections) = -1628 meV per atom
data_Nd2PuNiS5
_cell_length_a 3.8687
_cell_length_b 8.5013
_cell_length_c 11.9269
_cell_angle_alpha 90.00
_cell_angle_beta 90.00
_cell_angle_gamma 103.15
_space_group_name_H-M_alt 'P 1'
_space_group_IT_number 1
_space_group_name_Hall 'P 1'
loop_
_atom_site_label
_atom_site_type_symbol
_atom_site_fract_x
_atom_site_fract_y
_atom_site_fract_z
_atom_site_occupancy
Nd1 Nd 0.8852 0.7705 0.8472 1
Nd2 Nd 0.1171 0.2343 0.6954 1
Nd3 Nd 0.1148 0.2295 0.3472 1
Nd4 Nd 0.8829 0.7657 0.1954 1
Pu1 Pu 0.8212 0.6425 0.5274 1
Pu2 Pu 0.1788 0.3575 0.0274 1
Ni1 Ni 0.5511 0.1022 0.9210 1
Ni2 Ni 0.4489 0.8978 0.4210 1
S1 S 0.3442 0.6883 0.0200 1
S2 S 0.6830 0.3660 0.8639 1
S3 S 0.4952 0.9904 0.7500 1
S4 S 0.3027 0.6054 0.6912 1
S5 S 0.9813 0.9626 0.5079 1
S6 S 0.6558 0.3117 0.5200 1
S7 S 0.3170 0.6340 0.3639 1
S8 S 0.5048 0.0096 0.2500 1
S9 S 0.6973 0.3946 0.1912 1
S10 S 0.0187 0.0374 0.0079 1